Record 1
VASP calculation (PBE) on a relaxed structure of TbPr2Tm.

The value obtained for the polymorph energy (0 for the lowest one) is 0.000 eV per atom. For the volume, the calculation gives 33.335 A^3/atom. Its formation enthalpy at 0 K is 0.06 eV per formula unit.

It has space group R-3m (No. 166, hexagonal axes), with a = 3.6276 Å, b = 3.6276 Å, c = 35.1001 Å, α = 90.00°, β = 90.00° and γ = 120.00°. The asymmetric unit holds Tb at (0.0000, 0.0000, 0.0000), Pr at (0.0000, 0.0000, 0.2493) and Tm at (0.0000, 0.0000, 0.5000).

Record 2
VASP calculation (PBE) on a relaxed structure of Pr2SnAs3Rh4.

For the volume, the calculation gives 19.342 A^3/atom. Its formation enthalpy at 0 K is -8.59 eV per formula unit.

It has space group P-4m2 (No. 115), with a = 4.2244 Å, b = 4.2244 Å, c = 10.8383 Å, α = 90.00°, β = 90.00° and γ = 90.00°. The asymmetric unit holds Pr at (0.0000, 0.5000, 0.2393), Sn at (0.0000, 0.0000, 0.5000), As at (0.0000, 0.5000, 0.8694), As at (0.5000, 0.5000, 0.5000), Rh at (0.0000, 0.0000, 0.0000), Rh at (0.0000, 0.5000, 0.6460) and Rh at (0.5000, 0.5000, 0.0000).

Record 3
VASP calculation (PBE) on a relaxed structure of GaPtS2.

The uncorrected formation energy comes out at -0.263 eV per atom. For the volume, the calculation gives 20.438 A^3/atom.

It has space group I-42d (No. 122), with a = 5.5164 Å, b = 5.5164 Å, c = 10.7460 Å, α = 90.00°, β = 90.00° and γ = 90.00°. The asymmetric unit holds Ga at (0.0000, 0.0000, 0.0000), Pt at (0.0000, 0.0000, 0.5000) and S at (0.2489, 0.2500, 0.1250).

Record 4
VASP calculation (PBE) on a relaxed structure of La3Sm6Y2Tm.

For the volume, the calculation gives 34.052 A^3/atom. Its formation enthalpy at 0 K is 0.26 eV per formula unit.

It has space group C2/m (No. 12), with a = 6.3013 Å, b = 10.9244 Å, c = 12.0577 Å, α = 90.00°, β = 100.07° and γ = 90.00°. The asymmetric unit holds La at (0.0000, 0.0000, 0.0000), La at (0.0000, 0.3333, 0.0000), Sm at (0.2472, 0.3340, 0.7440), Sm at (0.2491, 0.0000, 0.7442), Y at (0.0000, 0.1666, 0.5000) and Tm at (0.0000, 0.5000, 0.5000).

Record 5
VASP calculation (PBE) on a relaxed structure of ScTcSN2.

The uncorrected formation energy comes out at -0.167 eV per atom. The value obtained for the polymorph energy (0 for the lowest one) is 0.000 eV per atom. For the volume, the calculation gives 14.493 A^3/atom.

It has space group P4/mmm (No. 123), with a = 3.8339 Å, b = 3.8339 Å, c = 4.9300 Å, α = 90.00°, β = 90.00° and γ = 90.00°. The asymmetric unit holds Sc at (0.0000, 0.0000, 0.0000), Tc at (0.5000, 0.5000, 0.5000), S at (0.5000, 0.5000, 0.0000) and N at (0.0000, 0.5000, 0.5000).

Record 6
VASP calculation (PBE) on a relaxed structure of In4TcAg.

For the volume, the calculation gives 21.820 A^3/atom. Its formation enthalpy at 0 K is 4.14 eV per formula unit.

It has space group F-43m (No. 216), with a = 8.0603 Å, b = 8.0603 Å, c = 8.0603 Å, α = 90.00°, β = 90.00° and γ = 90.00°. The asymmetric unit holds In at (0.1250, 0.1250, 0.1250), Tc at (0.2500, 0.2500, 0.7500) and Ag at (0.0000, 0.0000, 0.5000).

Record 7
VASP calculation (PBE) on a relaxed structure of BaZr2Al.

For the volume, the calculation gives 27.000 A^3/atom. Its formation enthalpy at 0 K is 1.05 eV per formula unit.

It has space group Immm (No. 71), with a = 3.3763 Å, b = 5.6053 Å, c = 11.4131 Å, α = 90.00°, β = 90.00° and γ = 90.00°. The asymmetric unit holds Ba at (0.0000, 0.0000, 0.0000), Zr at (0.0000, 0.5000, 0.2129) and Al at (0.0000, 0.0000, 0.5000).

Record 8
VASP calculation (PBE) on a relaxed structure of UBeCo5.

For the volume, the calculation gives 12.111 A^3/atom. Its formation enthalpy at 0 K is -0.14 eV per formula unit.

It has space group P4/mmm (No. 123), with a = 3.7486 Å, b = 3.7486 Å, c = 6.0332 Å, α = 90.00°, β = 90.00° and γ = 90.00°. The asymmetric unit holds U at (0.0000, 0.0000, 0.0000), Be at (0.5000, 0.5000, 0.5000), Co at (0.0000, 0.5000, 0.3000) and Co at (0.5000, 0.5000, 0.0000).

Record 9
VASP calculation (PBE) on a relaxed structure of AcSb2Ir.

The uncorrected formation energy comes out at -0.730 eV per atom. The value obtained for the polymorph energy (0 for the lowest one) is 0.000 eV per atom. For the volume, the calculation gives 26.681 A^3/atom.

It has space group Cmcm (No. 63), with a = 4.7365 Å, b = 18.1730 Å, c = 4.9594 Å, α = 90.00°, β = 90.00° and γ = 90.00°. The asymmetric unit holds Ac at (0.0000, 0.1098, 0.2500), Sb at (0.0000, 0.2519, 0.7500), Sb at (0.0000, 0.4575, 0.2500) and Ir at (0.0000, 0.3132, 0.2500).

Record 10
VASP calculation (PBE) on a relaxed structure of PrDy2PuO8.

The uncorrected formation energy comes out at -3.042 eV per atom. For the volume, the calculation gives 15.642 A^3/atom.

It has space group P2/m (No. 10), with a = 5.1333 Å, b = 7.1169 Å, c = 5.1381 Å, α = 90.00°, β = 90.05° and γ = 90.00°. The asymmetric unit holds Pr at (0.0000, 0.0000, 0.0000), Dy at (0.5000, 0.2431, 0.5000), Pu at (0.0000, 0.5000, 0.0000), O at (0.1861, 0.2865, 0.8124), O at (0.2776, 0.5000, 0.2760) and O at (0.3185, 0.0000, 0.3165).

Record 11
VASP calculation (PBE) on a relaxed structure of Sr2TeHPt.

The value obtained for the polymorph energy (0 for the lowest one) is 0.000 eV per atom. For the volume, the calculation gives 23.642 A^3/atom.

It has space group P4/mmm (No. 123), with a = 5.4900 Å, b = 5.4900 Å, c = 3.9220 Å, α = 90.00°, β = 90.00° and γ = 90.00°. The asymmetric unit holds Sr at (0.0000, 0.5000, 0.0000), Te at (0.0000, 0.0000, 0.5000), H at (0.5000, 0.5000, 0.0000) and Pt at (0.5000, 0.5000, 0.5000).

Record 12
VASP calculation (PBE) on a relaxed structure of CdPbAu2.

For the volume, the calculation gives 24.134 A^3/atom. Its formation enthalpy at 0 K is -0.22 eV per formula unit.

It has space group C2/m (No. 12), with a = 7.9324 Å, b = 4.2473 Å, c = 6.1685 Å, α = 90.00°, β = 111.72° and γ = 90.00°. The asymmetric unit holds Cd at (0.0000, 0.0000, 0.0000), Pb at (0.0000, 0.5000, 0.5000) and Au at (0.2412, 0.5000, 0.2134).